Material: LiLa2AlPt6
Method: DFT, GGA-PBE
State: relaxed

The space group is C2/m (No. 12) and the conventional cell measures 9.8731, 5.7157 and 8.4622 Å, with angles of 90.00, 112.64 and 90.00 degrees. The inequivalent atoms are Li at (0.0000, 0.0000, 0.0000), La at (0.2078, 0.0000, 0.6250), Al at (0.0000, 0.5000, 0.5000), Pt at (0.0060, 0.2480, 0.2627) and Pt at (0.2470, 0.5000, 0.7375).

The calculation puts the energy of formation at -0.84 eV per atom. The theoretical density is 11.2 g cm⁻³.

Material: LiLaAl2Pt
Method: DFT, GGA-PBE
State: relaxed

The space group is P4/mmm (No. 123) and the conventional cell measures 4.7607, 4.7607 and 4.8031 Å, with angles of 90.00, 90.00 and 90.00 degrees. The inequivalent atoms are Li at (0.0000, 0.0000, 0.0000), La at (0.5000, 0.5000, 0.0000), Al at (0.0000, 0.5000, 0.5000) and Pt at (0.0000, 0.0000, 0.5000).

The calculation puts the energy of formation at -0.56 eV per atom. The theoretical density is 6.0 g cm⁻³.

Material: LiLa2AlPt2
Method: DFT, GGA-PBE
State: relaxed

The space group is Ibam (No. 72) and the conventional cell measures 5.7901, 15.2527 and 6.0567 Å, with angles of 90.00, 90.00 and 90.00 degrees. The inequivalent atoms are Li at (0.0000, 0.0000, 0.2500), La at (0.2263, 0.1654, 0.0000), Al at (0.0000, 0.5000, 0.2500) and Pt at (0.2241, 0.3834, 0.0000).

The calculation puts the energy of formation at -0.91 eV per atom. The theoretical density is 8.7 g cm⁻³.

Material: LiLaAlPt
Method: DFT, GGA-PBE
State: relaxed

The space group is F-43m (No. 216) and the conventional cell measures 6.8273, 6.8273 and 6.8273 Å, with angles of 90.00, 90.00 and 90.00 degrees. The inequivalent atoms are Li at (0.0000, 0.0000, 0.0000), La at (0.2500, 0.2500, 0.7500), Al at (0.2500, 0.2500, 0.2500) and Pt at (0.0000, 0.0000, 0.5000).

The calculation puts the energy of formation at -0.64 eV per atom. The theoretical density is 7.7 g cm⁻³.

Material: LiLaAl2Pt4
Method: DFT, GGA-PBE
State: relaxed

The space group is R-3m (No. 166, hexagonal axes) and the conventional cell measures 4.2682, 4.2682 and 26.3849 Å, with angles of 90.00, 90.00 and 120.00 degrees. The inequivalent atoms are Li at (0.0000, 0.0000, 0.0000), La at (0.0000, 0.0000, 0.5000), Al at (0.0000, 0.0000, 0.2668), Pt at (0.0000, 0.0000, 0.0943) and Pt at (0.0000, 0.0000, 0.3667).

The calculation puts the energy of formation at -1.04 eV per atom. The theoretical density is 11.7 g cm⁻³.

Material: Li2LaAlRe
Method: DFT, GGA-PBE
State: relaxed

The space group is P4/mmm (No. 123) and the conventional cell measures 4.5141, 4.5141 and 5.8047 Å, with angles of 90.00, 90.00 and 90.00 degrees. The inequivalent atoms are Li at (0.0000, 0.5000, 0.0000), La at (0.0000, 0.0000, 0.5000), Al at (0.0000, 0.0000, 0.0000) and Re at (0.5000, 0.5000, 0.5000).

The calculation puts the energy of formation at 1.20 eV per atom. The theoretical density is 5.1 g cm⁻³.

Material: LiLa2AlRh
Method: DFT, GGA-PBE
State: relaxed

The space group is P4/mmm (No. 123) and the conventional cell measures 5.5484, 5.5484 and 4.8730 Å, with angles of 90.00, 90.00 and 90.00 degrees. The inequivalent atoms are Li at (0.0000, 0.0000, 0.0000), La at (0.0000, 0.5000, 0.5000), Al at (0.5000, 0.5000, 0.0000) and Rh at (0.5000, 0.5000, 0.5000).

The calculation puts the energy of formation at -0.33 eV per atom. The theoretical density is 4.6 g cm⁻³.

Material: LiLa2AlS5
Method: DFT, GGA-PBE
State: relaxed

The space group is Cmc2_1 (No. 36) and the conventional cell measures 3.9420, 17.0059 and 11.5101 Å, with angles of 90.00, 90.00 and 90.00 degrees. The inequivalent atoms are Li at (0.0000, 0.2136, 0.0000), La at (0.0000, 0.1232, 0.6653), La at (0.0000, 0.1331, 0.2868), Al at (0.0000, 0.4324, 0.4328), S at (0.0000, 0.0444, 0.0330), S at (0.0000, 0.2942, 0.6468), S at (0.0000, 0.3145, 0.3413), S at (0.0000, 0.3576, 0.9824) and S at (0.0000, 0.4991, 0.2618).

For the formation energy (no corrections), the calculation gives -1.765 eV/atom. The theoretical density is 4.1 g cm⁻³.

Material: LiLa2ScAl
Method: DFT, GGA-PBE
State: relaxed

The space group is P4/mmm (No. 123) and the conventional cell measures 5.2373, 5.2373 and 5.0879 Å, with angles of 90.00, 90.00 and 90.00 degrees. The inequivalent atoms are Li at (0.0000, 0.0000, 0.0000), La at (0.0000, 0.5000, 0.0000), Sc at (0.0000, 0.0000, 0.5000) and Al at (0.5000, 0.5000, 0.5000).

The calculation puts the energy of formation at 0.42 eV per atom. The theoretical density is 4.2 g cm⁻³.

Material: LiLa2AlSe5
Method: DFT, GGA-PBE
State: relaxed

The space group is Cmc2_1 (No. 36) and the conventional cell measures 4.0983, 17.9497 and 12.0274 Å, with angles of 90.00, 90.00 and 90.00 degrees. The inequivalent atoms are Li at (0.0000, 0.2133, 0.0000), La at (0.0000, 0.1225, 0.6639), La at (0.0000, 0.1320, 0.2856), Al at (0.0000, 0.4306, 0.4324), Se at (0.0000, 0.0439, 0.0385), Se at (0.0000, 0.2934, 0.6463), Se at (0.0000, 0.3132, 0.3367), Se at (0.0000, 0.3574, 0.9801) and Se at (0.0000, 0.4990, 0.2597).

For the formation energy (no corrections), the calculation gives -1.598 eV/atom. The theoretical density is 5.3 g cm⁻³.

Material: LiLa2Al4Si3
Method: DFT, GGA-PBE
State: relaxed

The space group is P-4m2 (No. 115) and the conventional cell measures 4.1726, 4.1726 and 11.3009 Å, with angles of 90.00, 90.00 and 90.00 degrees. The inequivalent atoms are Li at (0.0000, 0.0000, 0.0000), La at (0.0000, 0.5000, 0.7458), Al at (0.0000, 0.0000, 0.5000), Al at (0.0000, 0.5000, 0.1331), Al at (0.5000, 0.5000, 0.5000), Si at (0.0000, 0.5000, 0.3594) and Si at (0.5000, 0.5000, 0.0000).

For the formation energy (no corrections), the calculation gives -0.372 eV/atom. The theoretical density is 4.0 g cm⁻³.

Material: Li3La2AlSn4
Method: DFT, GGA-PBE
State: relaxed

The space group is P-4m2 (No. 115) and the conventional cell measures 4.5315, 4.5315 and 11.4204 Å, with angles of 90.00, 90.00 and 90.00 degrees. The inequivalent atoms are Li at (0.0000, 0.0000, 0.0000), Li at (0.0000, 0.5000, 0.6304), La at (0.0000, 0.5000, 0.2571), Al at (0.5000, 0.5000, 0.0000), Sn at (0.0000, 0.0000, 0.5000), Sn at (0.0000, 0.5000, 0.8564) and Sn at (0.5000, 0.5000, 0.5000).

The calculation puts the energy of formation at -0.58 eV per atom. The theoretical density is 5.7 g cm⁻³.

> Among the records above, which one has the highest theoretical density?

LiLaAl2Pt4

> The lowest theoretical density belongs to which entry?

LiLa2Al4Si3

> The lowest theoretical density belongs to which entry?

LiLa2Al4Si3

> Which of these has the lowest theoretical density?

LiLa2Al4Si3